# Sr2ReSn

A relaxed Sr2ReSn crystal (PBE-GGA, Alexandria).

```
Sr2ReSn
1.0
-1.814 -0.396 11.016
-3.282 -10.638 -0.923
-0.088 -6.309 5.423
Sn Sr Re
2 4 2
direct
0.250 0.750 0.500
0.500 0.500 0.000
0.954 0.625 0.250
0.375 0.204 0.750
0.796 0.125 0.250
0.875 0.046 0.750
0.000 0.000 0.000
0.750 0.250 0.500
```

Output
size of the total moment: 0.19 μB per atom
calculated formation energy: 0.5557 eV/atom
ρ: 4893 kg/m3

# SrReSn3

A relaxed SrReSn3 crystal (PBE-GGA, Alexandria).

```
SrReSn3
1.0
5.271 0.000 0.000
0.000 5.271 0.000
0.000 0.000 5.271
Re Sn Sr
1 3 1
direct
0.000 0.000 0.000
0.000 0.000 0.500
0.000 0.500 0.000
0.500 0.000 0.000
0.500 0.500 0.500
```

Output
size of the total moment: 0.12 μB per atom
calculated formation energy: 0.1390 eV/atom
ρ: 7142 kg/m3
polymorph energy (0 for the lowest one): 0 meV/atom

# SrVRe2Sn

A relaxed SrVRe2Sn crystal (PBE-GGA, Alexandria).

```
SrVRe2Sn
1.0
4.881 0.000 0.000
0.000 4.608 0.000
0.000 0.000 4.881
Re Sr V Sn
2 1 1 1
direct
0.000 0.000 0.500
0.500 0.000 0.000
0.000 0.000 0.000
0.000 0.500 0.000
0.500 0.500 0.500
```

Output
size of the total moment: 0.27 μB per atom
calculated formation energy: 3.0524 eV/atom
ρ: 9525 kg/m3

# Ta3ReSn

A relaxed Ta3ReSn crystal (PBE-GGA, Alexandria).

```
Ta3ReSn
1.0
-0.648 -0.546 -4.830
4.520 -1.860 -0.396
-1.788 -4.505 0.749
Ta Re Sn
3 1 1
direct
0.000 0.500 0.000
0.500 0.000 0.000
0.000 0.000 0.500
0.500 0.500 0.500
0.000 0.000 0.000
```

Output
size of the total moment: 0.26 μB per atom
calculated formation energy: 2.4485 eV/atom
ρ: 11937 kg/m3
polymorph energy (0 for the lowest one): 1368 meV/atom